(1)
First-principles (GGA-PBE) data for an optimized crystal structure of PuGa5Pd7, as listed in Alexandria via LeMat-Bulk.

abc: 6.849 6.849 6.849
angles: 133.91 97.06 100.58
Element x y z (fractional)
Pu: 0.000 0.000 0.000
Ga: 0.002 0.497 0.013
Ga: 0.002 0.989 0.505
Ga: 0.484 0.497 0.495
Ga: 0.484 0.989 0.987
Ga: 0.772 0.272 0.500
Pd: 0.194 0.485 0.709
Pd: 0.221 0.721 0.500
Pd: 0.339 0.339 0.000
Pd: 0.347 0.005 0.341
Pd: 0.664 0.005 0.659
Pd: 0.664 0.664 0.000
Pd: 0.776 0.485 0.291

DOS(E_F): 19.82 states/eV/cell
V: 212.9 Å³ per cell
energy of formation: -542 meV per atom


(2)
First-principles (GGA-PBE) data for an optimized crystal structure of Pu3Ga4Pd7, as listed in Alexandria via LeMat-Bulk.

abc: 8.144 8.144 9.786
angles: 124.23 124.23 29.30
Element x y z (fractional)
Pu: 0.000 0.000 0.000
Pu: 0.325 0.325 0.328
Pu: 0.675 0.675 0.672
Ga: 0.114 0.114 0.836
Ga: 0.339 0.339 0.730
Ga: 0.661 0.661 0.270
Ga: 0.886 0.886 0.164
Pd: 0.000 0.000 0.500
Pd: 0.163 0.163 0.427
Pd: 0.311 0.311 0.964
Pd: 0.494 0.494 0.710
Pd: 0.506 0.506 0.290
Pd: 0.689 0.689 0.036
Pd: 0.837 0.837 0.573

DOS(E_F): 46.12 states/eV/cell
V: 258.4 Å³ per cell
energy of formation: -608 meV per atom


(3)
First-principles (GGA-PBE) data for an optimized crystal structure of Pu3Ga3Pd2, as listed in Alexandria via LeMat-Bulk.

abc: 16.573 4.624 4.408
angles: 90.00 105.41 90.00
Element x y z (fractional)
Pu: 0.000 0.000 0.000
Pu: 0.130 0.500 0.129
Pu: 0.370 0.000 0.871
Pu: 0.500 0.500 0.000
Pu: 0.630 0.000 0.129
Pu: 0.870 0.500 0.871
Ga: 0.000 0.500 0.500
Ga: 0.150 0.000 0.651
Ga: 0.350 0.500 0.349
Ga: 0.500 0.000 0.500
Ga: 0.650 0.500 0.651
Ga: 0.850 0.000 0.349
Pd: 0.240 0.000 0.241
Pd: 0.260 0.500 0.759
Pd: 0.740 0.500 0.241
Pd: 0.760 0.000 0.759

energy above the most stable polymorph in this dataset: 43 meV/atom
DOS(E_F): 46.44 states/eV/cell
V: 325.7 Å³ per cell
energy of formation: -403 meV per atom


(4)
First-principles (GGA-PBE) data for an optimized crystal structure of PuGaPd4, as listed in Alexandria via LeMat-Bulk.

abc: 5.348 5.348 5.348
angles: 60.00 60.00 60.00
Element x y z (fractional)
Pu: 0.000 0.000 0.000
Ga: 0.250 0.250 0.250
Pd: 0.126 0.625 0.625
Pd: 0.625 0.126 0.625
Pd: 0.625 0.625 0.126
Pd: 0.625 0.625 0.625

energy above the most stable polymorph in this dataset: 42 meV/atom
DOS(E_F): 18.08 states/eV/cell
V: 108.2 Å³ per cell
energy of formation: -431 meV per atom


Q: Which formula does entry 2 have?
A: Pu3Ga4Pd7